(1)
The following is a DFT calculation (PBE) of a relaxed TiSnH3 crystal.

## Properties
**VASP energy**: -0.160 Ha/atom
**Space-group type**: No. 221
**DOS(E_F)**: 1.96 states/eV per cell
**M_tot**: 0.0 μB per cell
**Offset from the most stable computed form**: 0 meV per atom

```
data_TiSnH3
_space_group_name_H-M_alt 'P 1'
_space_group_IT_number 1
_cell_length_a 3.6893
_cell_length_b 3.6893
_cell_length_c 3.6893
_cell_angle_alpha 90.00
_cell_angle_beta 90.00
_cell_angle_gamma 90.00
loop_
_space_group_symop_operation_xyz
'x,y,z'
loop_
_atom_site_label
_atom_site_fract_x
_atom_site_fract_y
_atom_site_fract_z
_atom_site_occupancy
Ti1 0.0000 0.0000 0.0000 1
Sn1 0.5000 0.5000 0.5000 1
H1 0.0000 0.0000 0.5000 1
H2 0.0000 0.5000 0.0000 1
H3 0.5000 0.0000 0.0000 1
```

(2)
The following is a DFT calculation (PBE) of a relaxed Tb4PmNd3S8 crystal.

## Properties
**Formation energy from raw total energies**: -2.02 eV/atom
**VASP energy**: -0.236 Ha/atom
**Space-group type**: No. 166
**DOS(E_F)**: 8.10 states/eV per cell
**M_tot**: 0.0 μB per cell

```
data_Tb4PmNd3S8
_space_group_name_H-M_alt 'P 1'
_space_group_IT_number 1
_cell_length_a 8.0335
_cell_length_b 8.0335
_cell_length_c 8.0335
_cell_angle_alpha 59.31
_cell_angle_beta 59.31
_cell_angle_gamma 59.31
loop_
_space_group_symop_operation_xyz
'x,y,z'
loop_
_atom_site_label
_atom_site_fract_x
_atom_site_fract_y
_atom_site_fract_z
_atom_site_occupancy
Tb1 0.0000 0.0000 0.0000 1
Tb2 0.0000 0.5000 0.5000 1
Tb3 0.5000 0.0000 0.5000 1
Tb4 0.5000 0.5000 0.0000 1
Pm1 0.5000 0.5000 0.5000 1
Nd1 0.0000 0.0000 0.5000 1
Nd2 0.0000 0.5000 0.0000 1
Nd3 0.5000 0.0000 0.0000 1
S1 0.2463 0.2463 0.7443 1
S2 0.2463 0.7443 0.2463 1
S3 0.2548 0.2548 0.2548 1
S4 0.2557 0.7537 0.7537 1
S5 0.7443 0.2463 0.2463 1
S6 0.7452 0.7452 0.7452 1
S7 0.7537 0.2557 0.7537 1
S8 0.7537 0.7537 0.2557 1
```

(3)
The following is a DFT calculation (PBE) of a relaxed RePt2Pb crystal.

## Properties
**Energy relative to the elements**: 8.15 kcal/mol of atoms
**VASP energy**: -0.246 Ha/atom
**Space-group type**: No. 25
**DOS(E_F)**: 2.66 states/eV per cell
**M_tot**: 0.0 μB per cell

```
data_RePt2Pb
_space_group_name_H-M_alt 'P 1'
_space_group_IT_number 1
_cell_length_a 2.9225
_cell_length_b 3.7421
_cell_length_c 6.7260
_cell_angle_alpha 90.00
_cell_angle_beta 90.00
_cell_angle_gamma 90.00
loop_
_space_group_symop_operation_xyz
'x,y,z'
loop_
_atom_site_label
_atom_site_fract_x
_atom_site_fract_y
_atom_site_fract_z
_atom_site_occupancy
Re1 0.0000 0.0000 0.0000 1
Pt1 0.0000 0.0000 0.5935 1
Pt2 0.5000 0.5000 0.8248 1
Pb1 0.5000 0.5000 0.3119 1
```

(4)
The following is a DFT calculation (PBE) of a relaxed Hf2TaTe6 crystal.

## Properties
**Formation energy from raw total energies**: -0.64 eV/atom
**VASP energy**: -0.230 Ha/atom
**Space-group type**: No. 12
**DOS(E_F)**: 3.59 states/eV per cell
**M_tot**: 0.0 μB per cell
**Offset from the most stable computed form**: 0 meV per atom

```
data_Hf2TaTe6
_space_group_name_H-M_alt 'P 1'
_space_group_IT_number 1
_cell_length_a 9.4578
_cell_length_b 9.4578
_cell_length_c 8.5889
_cell_angle_alpha 111.12
_cell_angle_beta 111.12
_cell_angle_gamma 23.56
loop_
_space_group_symop_operation_xyz
'x,y,z'
loop_
_atom_site_label
_atom_site_fract_x
_atom_site_fract_y
_atom_site_fract_z
_atom_site_occupancy
Hf1 0.1654 0.1654 0.3302 1
Hf2 0.8346 0.8346 0.6698 1
Ta1 0.5000 0.5000 0.0000 1
Te1 0.9996 0.9996 0.2408 1
Te2 0.0004 0.0004 0.7592 1
Te3 0.3323 0.3323 0.4178 1
Te4 0.3373 0.3373 0.9202 1
Te5 0.6627 0.6627 0.0798 1
Te6 0.6677 0.6677 0.5822 1
```

(5)
The following is a DFT calculation (PBE) of a relaxed TmThU crystal.

## Properties
**Energy relative to the elements**: 7.51 kcal/mol of atoms
**VASP energy**: -0.272 Ha/atom
**Space-group type**: No. 156
**DOS(E_F)**: 7.59 states/eV per cell
**M_tot**: 2.0 μB per cell

```
data_TmThU
_space_group_name_H-M_alt 'P 1'
_space_group_IT_number 1
_cell_length_a 3.3828
_cell_length_b 3.3828
_cell_length_c 8.4576
_cell_angle_alpha 90.00
_cell_angle_beta 90.00
_cell_angle_gamma 120.00
loop_
_space_group_symop_operation_xyz
'x,y,z'
loop_
_atom_site_label
_atom_site_fract_x
_atom_site_fract_y
_atom_site_fract_z
_atom_site_occupancy
Tm1 0.0000 0.0000 0.0000 1
Th1 0.3333 0.6667 0.6493 1
U1 0.6667 0.3333 0.3269 1
```

(6)
The following is a DFT calculation (PBE) of a relaxed InAuS2 crystal.

## Properties
**Formation energy from raw total energies**: -0.18 eV/atom
**VASP energy**: -0.138 Ha/atom
**Space-group type**: No. 12
**DOS(E_F)**: 0.90 states/eV per cell
**M_tot**: 0.0 μB per cell

```
data_InAuS2
_space_group_name_H-M_alt 'P 1'
_space_group_IT_number 1
_cell_length_a 3.9183
_cell_length_b 3.9183
_cell_length_c 7.1965
_cell_angle_alpha 113.44
_cell_angle_beta 113.44
_cell_angle_gamma 57.76
loop_
_space_group_symop_operation_xyz
'x,y,z'
loop_
_atom_site_label
_atom_site_fract_x
_atom_site_fract_y
_atom_site_fract_z
_atom_site_occupancy
In1 0.0000 0.0000 0.0000 1
Au1 0.5000 0.5000 0.5000 1
S1 0.2062 0.2062 0.7595 1
S2 0.7938 0.7938 0.2405 1
```

(7)
The following is a DFT calculation (PBE) of a relaxed SmEuEr crystal.

## Properties
**Energy relative to the elements**: 1.23 kcal/mol of atoms
**VASP energy**: -0.238 Ha/atom
**Space-group type**: No. 156
**DOS(E_F)**: 3.63 states/eV per cell
**M_tot**: 7.3 μB per cell

```
data_SmEuEr
_space_group_name_H-M_alt 'P 1'
_space_group_IT_number 1
_cell_length_a 3.6507
_cell_length_b 3.6507
_cell_length_c 8.9609
_cell_angle_alpha 90.00
_cell_angle_beta 90.00
_cell_angle_gamma 120.00
loop_
_space_group_symop_operation_xyz
'x,y,z'
loop_
_atom_site_label
_atom_site_fract_x
_atom_site_fract_y
_atom_site_fract_z
_atom_site_occupancy
Sm1 0.0000 0.0000 0.0000 1
Eu1 0.3333 0.6667 0.6495 1
Er1 0.6667 0.3333 0.3106 1
```

(8)
The following is a DFT calculation (PBE) of a relaxed Pu4Sb2TeSe crystal.

## Properties
**Formation energy from raw total energies**: -0.91 eV/atom
**VASP energy**: -0.365 Ha/atom
**Space-group type**: No. 10
**DOS(E_F)**: 51.74 states/eV per cell
**M_tot**: 0.0 μB per cell

```
data_Pu4Sb2TeSe
_space_group_name_H-M_alt 'P 1'
_space_group_IT_number 1
_cell_length_a 7.5573
_cell_length_b 4.3622
_cell_length_c 7.5708
_cell_angle_alpha 90.00
_cell_angle_beta 109.72
_cell_angle_gamma 90.00
loop_
_space_group_symop_operation_xyz
'x,y,z'
loop_
_atom_site_label
_atom_site_fract_x
_atom_site_fract_y
_atom_site_fract_z
_atom_site_occupancy
Pu1 0.2398 0.0000 0.2368 1
Pu2 0.2472 0.5000 0.7559 1
Pu3 0.7528 0.5000 0.2441 1
Pu4 0.7602 0.0000 0.7632 1
Sb1 0.5000 0.0000 0.0000 1
Sb2 0.5000 0.5000 0.5000 1
Te1 0.0000 0.0000 0.5000 1
Se1 0.0000 0.5000 0.0000 1
```

(9)
The following is a DFT calculation (PBE) of a relaxed ZrNiCl2 crystal.

## Properties
**Formation energy from raw total energies**: -0.41 eV/atom
**VASP energy**: -0.181 Ha/atom
**Space-group type**: No. 166
**DOS(E_F)**: 6.16 states/eV per cell
**M_tot**: 1.0 μB per cell
**Offset from the most stable computed form**: 510 meV per atom

```
data_ZrNiCl2
_space_group_name_H-M_alt 'P 1'
_space_group_IT_number 1
_cell_length_a 10.3852
_cell_length_b 10.3852
_cell_length_c 10.3852
_cell_angle_alpha 17.67
_cell_angle_beta 17.67
_cell_angle_gamma 17.67
loop_
_space_group_symop_operation_xyz
'x,y,z'
loop_
_atom_site_label
_atom_site_fract_x
_atom_site_fract_y
_atom_site_fract_z
_atom_site_occupancy
Zr1 0.0000 0.0000 0.0000 1
Ni1 0.5000 0.5000 0.5000 1
Cl1 0.2727 0.2727 0.2727 1
Cl2 0.7273 0.7273 0.7273 1
```

(10)
The following is a DFT calculation (PBE) of a relaxed Pm2TlOs crystal.

## Properties
**Energy relative to the elements**: -0.38 kcal/mol of atoms
**VASP energy**: -0.213 Ha/atom
**Space-group type**: No. 123
**DOS(E_F)**: 2.19 states/eV per cell
**M_tot**: 0.0 μB per cell
**Offset from the most stable computed form**: 181 meV per atom

```
data_Pm2TlOs
_space_group_name_H-M_alt 'P 1'
_space_group_IT_number 1
_cell_length_a 5.1616
_cell_length_b 5.1616
_cell_length_c 3.7267
_cell_angle_alpha 90.00
_cell_angle_beta 90.00
_cell_angle_gamma 90.00
loop_
_space_group_symop_operation_xyz
'x,y,z'
loop_
_atom_site_label
_atom_site_fract_x
_atom_site_fract_y
_atom_site_fract_z
_atom_site_occupancy
Pm1 0.0000 0.5000 0.0000 1
Pm2 0.5000 0.0000 0.0000 1
Tl1 0.0000 0.0000 0.5000 1
Os1 0.5000 0.5000 0.5000 1
```

(11)
The following is a DFT calculation (PBE) of a relaxed LiTiNiRh crystal.

## Properties
**Energy relative to the elements**: -10.26 kcal/mol of atoms
**VASP energy**: -0.227 Ha/atom
**Space-group type**: No. 216
**DOS(E_F)**: 1.89 states/eV per cell
**M_tot**: 0.0 μB per cell

```
data_LiTiNiRh
_space_group_name_H-M_alt 'P 1'
_space_group_IT_number 1
_cell_length_a 4.1946
_cell_length_b 4.1946
_cell_length_c 4.1946
_cell_angle_alpha 60.00
_cell_angle_beta 60.00
_cell_angle_gamma 60.00
loop_
_space_group_symop_operation_xyz
'x,y,z'
loop_
_atom_site_label
_atom_site_fract_x
_atom_site_fract_y
_atom_site_fract_z
_atom_site_occupancy
Li1 0.0000 0.0000 0.0000 1
Ti1 0.5000 0.5000 0.5000 1
Ni1 0.7500 0.7500 0.7500 1
Rh1 0.2500 0.2500 0.2500 1
```

(12)
The following is a DFT calculation (PBE) of a relaxed Na3DyY2O6 crystal.

## Properties
**Formation energy from raw total energies**: -2.79 eV/atom
**VASP energy**: -0.259 Ha/atom
**Space-group type**: No. 12
**DOS(E_F)**: 0.00 states/eV per cell
**M_tot**: 0.0 μB per cell

```
data_Na3DyY2O6
_space_group_name_H-M_alt 'P 1'
_space_group_IT_number 1
_cell_length_a 5.9441
_cell_length_b 5.9441
_cell_length_c 5.9277
_cell_angle_alpha 99.63
_cell_angle_beta 99.63
_cell_angle_gamma 120.00
loop_
_space_group_symop_operation_xyz
'x,y,z'
loop_
_atom_site_label
_atom_site_fract_x
_atom_site_fract_y
_atom_site_fract_z
_atom_site_occupancy
Na1 0.0000 0.0000 0.0000 1
Na2 0.3335 0.6665 0.0000 1
Na3 0.6665 0.3335 0.0000 1
Dy1 0.5000 0.5000 0.5000 1
Y1 0.1667 0.8333 0.5000 1
Y2 0.8333 0.1667 0.5000 1
O1 0.0967 0.4295 0.2885 1
O2 0.2378 0.2378 0.7114 1
O3 0.4295 0.0967 0.2885 1
O4 0.5705 0.9033 0.7115 1
O5 0.7622 0.7622 0.2886 1
O6 0.9033 0.5705 0.7115 1
```